1.
Here is an optimized crystal structure of Al2V2Ga from the Alexandria database. Energies are from PBE-GGA.

Summary:
- Energy relative to the elements: -185 meV/atom
- Energy above the lowest structure with this stoichiometry: 0.000 eV/atom

Unit cell a=5.3858 b=5.3858 c=6.6080 alpha=107.16 beta=107.16 gamma=53.92
Last column: nearest neighbours and their distance in Å.
Element x y z (fractional)
Al: 0.0474 0.3496 0.1530  6 V 2.65-2.88, 3 Ga 2.67-2.90, 3 Al 2.71-2.78
Al: 0.3496 0.0474 0.6530  6 V 2.65-2.88, 3 Ga 2.67-2.90, 3 Al 2.71-2.78
Al: 0.6504 0.9526 0.3470  6 V 2.65-2.88, 3 Ga 2.67-2.90, 3 Al 2.71-2.78
Al: 0.9526 0.6504 0.8470  6 V 2.65-2.88, 3 Ga 2.67-2.90, 3 Al 2.71-2.78
V: 0.2699 0.5495 0.5594  2 V 2.53-2.54, 5 Al 2.65-2.82, 2 Ga 2.66-2.67
V: 0.4505 0.7301 0.9406  2 V 2.53-2.54, 5 Al 2.65-2.82, 2 Ga 2.66-2.67
V: 0.5495 0.2699 0.0594  2 V 2.53-2.54, 5 Al 2.65-2.82, 2 Ga 2.66-2.67
V: 0.7301 0.4505 0.4406  2 V 2.53-2.54, 5 Al 2.65-2.82, 2 Ga 2.66-2.67
Ga: 0.1593 0.8407 0.2500  6 V 2.66-2.84, 6 Al 2.67-2.90
Ga: 0.8407 0.1593 0.7500  6 V 2.66-2.84, 6 Al 2.67-2.90

***

2.
Here is an optimized crystal structure of TbSnBi from the Alexandria database. Energies are from PBE-GGA.

Summary:
- Energy relative to the elements: -306 meV/atom
- Energy above the lowest structure with this stoichiometry: 0.297 eV/atom

Unit cell a=5.4923 b=5.4923 c=3.3344 alpha=90.00 beta=90.00 gamma=120.00
Last column: nearest neighbours and their distance in Å.
Element x y z (fractional)
Tb: 0.0000 0.0000 0.0000  2 Tb 3.33, 6 Bi 3.58, 6 Sn 3.58
Sn: 0.6667 0.3333 0.5000  3 Bi 3.17, 2 Sn 3.33
Bi: 0.3333 0.6667 0.5000  3 Sn 3.17, 2 Bi 3.33

***

3.
Here is an optimized crystal structure of Bi12Pd6Rh from the Alexandria database. Energies are from PBE-GGA.

Summary:
- Energy relative to the elements: -187 meV/atom

Unit cell a=8.1812 b=8.1812 c=8.1812 alpha=99.78 beta=99.78 gamma=99.78
Last column: nearest neighbours and their distance in Å.
Element x y z (fractional)
Bi: 0.0628 0.3236 0.9334  1 Rh 2.77, 3 Pd 2.82-3.09
Bi: 0.0666 0.9372 0.6764  1 Rh 2.77, 3 Pd 2.82-3.09
Bi: 0.1787 0.5836 0.4385  4 Pd 2.82-2.92
Bi: 0.3236 0.9334 0.0628  1 Rh 2.77, 3 Pd 2.82-3.09
Bi: 0.4164 0.5615 0.8213  4 Pd 2.82-2.92
Bi: 0.4385 0.1787 0.5836  4 Pd 2.82-2.92
Bi: 0.5615 0.8213 0.4164  4 Pd 2.82-2.92
Bi: 0.5836 0.4385 0.1787  4 Pd 2.82-2.92
Bi: 0.6764 0.0666 0.9372  1 Rh 2.77, 3 Pd 2.82-3.09
Bi: 0.8213 0.4164 0.5615  4 Pd 2.82-2.92
Bi: 0.9334 0.0628 0.3236  1 Rh 2.77, 3 Pd 2.82-3.09
Bi: 0.9372 0.6764 0.0666  1 Rh 2.77, 3 Pd 2.82-3.09
Pd: 0.1391 0.2996 0.6076  7 Bi 2.82-3.09
Pd: 0.2996 0.6076 0.1391  7 Bi 2.82-3.09
Pd: 0.3924 0.8609 0.7004  7 Bi 2.82-3.09
Pd: 0.6076 0.1391 0.2996  7 Bi 2.82-3.09
Pd: 0.7004 0.3924 0.8609  7 Bi 2.82-3.09
Pd: 0.8609 0.7004 0.3924  7 Bi 2.82-3.09
Rh: 0.0000 0.0000 0.0000  6 Bi 2.77

***

4.
Here is an optimized crystal structure of Tm3MgAg4 from the Alexandria database. Energies are from PBE-GGA.

Summary:
- Energy relative to the elements: -296 meV/atom

Unit cell a=9.9855 b=7.0779 c=4.9935 alpha=90.00 beta=90.00 gamma=90.00
Last column: nearest neighbours and their distance in Å.
Element x y z (fractional)
Tm: 0.0000 0.0000 0.0000  8 Ag 3.08
Tm: 0.2500 0.0000 0.4992  8 Ag 3.08
Tm: 0.2500 0.5000 0.4991  8 Ag 3.04
Tm: 0.5000 0.0000 0.0000  8 Ag 3.08
Tm: 0.7500 0.0000 0.5008  8 Ag 3.08
Tm: 0.7500 0.5000 0.5009  8 Ag 3.04
Mg: 0.0000 0.5000 0.0000  8 Ag 3.04
Mg: 0.5000 0.5000 0.0000  8 Ag 3.04
Ag: 0.0000 0.2551 0.5000  6 Tm 3.04-3.08, 2 Mg 3.04
Ag: 0.0000 0.7449 0.5000  6 Tm 3.04-3.08, 2 Mg 3.04
Ag: 0.2500 0.2550 0.9989  6 Tm 3.04-3.08, 2 Mg 3.04
Ag: 0.2500 0.7450 0.9989  6 Tm 3.04-3.08, 2 Mg 3.04
Ag: 0.5000 0.2551 0.5000  6 Tm 3.04-3.08, 2 Mg 3.04
Ag: 0.5000 0.7449 0.5000  6 Tm 3.04-3.08, 2 Mg 3.04
Ag: 0.7500 0.2550 0.0011  6 Tm 3.04-3.08, 2 Mg 3.04
Ag: 0.7500 0.7450 0.0011  6 Tm 3.04-3.08, 2 Mg 3.04

***

5.
Here is an optimized crystal structure of Ni2TeW from the Alexandria database. Energies are from PBE-GGA.

Summary:
- Formation energy without anion corrections: 0.4443 eV per atom

Unit cell a=2.9655 b=2.9655 c=25.0398 alpha=90.00 beta=90.00 gamma=120.00
Last column: nearest neighbours and their distance in Å.
Element x y z (fractional)
Ni: 0.0000 0.0000 0.2453  3 W 2.61, 3 Te 2.79
Ni: 0.0000 0.0000 0.7547  3 W 2.61, 3 Te 2.79
Ni: 0.3333 0.6667 0.4214  3 W 2.61, 3 Te 2.79
Ni: 0.3333 0.6667 0.9119  3 W 2.61, 3 Te 2.79
Ni: 0.6667 0.3333 0.0881  3 W 2.61, 3 Te 2.79
Ni: 0.6667 0.3333 0.5786  3 W 2.61, 3 Te 2.79
Te: 0.0000 0.0000 0.0000  6 Ni 2.79, 6 Te 2.97
Te: 0.3333 0.6667 0.6667  6 Ni 2.79, 6 Te 2.97
Te: 0.6667 0.3333 0.3333  6 Ni 2.79, 6 Te 2.97
W: 0.0000 0.0000 0.5000  6 Ni 2.61
W: 0.3333 0.6667 0.1667  6 Ni 2.61
W: 0.6667 0.3333 0.8333  6 Ni 2.61

***

6.
Here is an optimized crystal structure of PmHo5Pd2 from the Alexandria database. Energies are from PBE-GGA.

Summary:
- Energy relative to the elements: -376 meV/atom

Unit cell a=6.7149 b=6.7149 c=18.0012 alpha=90.00 beta=90.00 gamma=146.90
Last column: nearest neighbours and their distance in Å.
Element x y z (fractional)
Pm: 0.1516 0.8484 0.7500  4 Pd 3.25, 3 Ho 3.41-3.58
Pm: 0.8484 0.1516 0.2500  4 Pd 3.25, 3 Ho 3.41-3.58
Ho: 0.1130 0.8870 0.2500  2 Pd 2.77
Ho: 0.1552 0.8448 0.5435  2 Pd 2.77
Ho: 0.1552 0.8448 0.9565  2 Pd 2.77
Ho: 0.4475 0.5525 0.6012  2 Pd 3.12, 4 Ho 3.38-3.45
Ho: 0.4475 0.5525 0.8988  2 Pd 3.12, 4 Ho 3.38-3.45
Ho: 0.5525 0.4475 0.1012  2 Pd 3.12, 4 Ho 3.38-3.45
Ho: 0.5525 0.4475 0.3988  2 Pd 3.12, 4 Ho 3.38-3.45
Ho: 0.8448 0.1552 0.0435  2 Pd 2.77
Ho: 0.8448 0.1552 0.4565  2 Pd 2.77
Ho: 0.8870 0.1130 0.7500  2 Pd 2.77
Pd: 0.2404 0.7596 0.1261  3 Ho 2.77
Pd: 0.2404 0.7596 0.3739  3 Ho 2.77
Pd: 0.7596 0.2404 0.6261  3 Ho 2.77
Pd: 0.7596 0.2404 0.8739  3 Ho 2.77

***

Density of states at the Fermi level list, top to bottom, in states/eV/f.u.: 2.72 2.81 9.66 4.77 4.37 8.38
Calculated total energy list, top to bottom, in eV for the cell shown: -59.4 -13.4 -88.6 -57.6 -77.6 -82.1
Total magnetization list, top to bottom, in μB per atom: 0.000 0.000 0.000 0.000 0.000 0.000